# 1
Density functional theory data (PBE) for Sm6InSn after structural relaxation.

It has space group P4/mmm (No. 123), with a = 4.917 Å, b = 4.917 Å, c = 9.817 Å, α = 90.00°, β = 90.00° and γ = 90.00°. Symmetry generates all atoms from Sm at (0.000, 0.000, 0.000), Sm at (0.000, 0.000, 0.500), Sm at (0.000, 0.500, 0.248), In at (0.500, 0.500, 0.500) and Sn at (0.500, 0.500, 0.000).

The formation energy is -0.36 eV/atom.



# 2
Density functional theory data (PBE) for LiPm2Mg2In4 after structural relaxation.

It has space group I4/mmm (No. 139), with a = 6.793 Å, b = 6.793 Å, c = 9.438 Å, α = 90.00°, β = 90.00° and γ = 90.00°. Symmetry generates all atoms from Li at (0.000, 0.000, 0.000), Pm at (0.000, 0.500, 0.250), Mg at (0.000, 0.000, 0.275) and In at (0.230, 0.230, 0.500).

The formation energy is -0.34 eV/atom.



# 3
Density functional theory data (PBE) for UCrOs2 after structural relaxation.

It has space group R-3m (No. 166, hexagonal axes), with a = 2.7685 Å, b = 2.7685 Å, c = 28.0673 Å, α = 90.00°, β = 90.00° and γ = 120.00°. Symmetry generates all atoms from U at (0.0000, 0.0000, 0.0000), Cr at (0.0000, 0.0000, 0.5000) and Os at (0.0000, 0.0000, 0.2385).

The formation energy is 0.22 eV/atom. Its energy above the lowest structure with this stoichiometry is 4.791 kcal/mol of atoms.